No. 1
A plane-wave DFT calculation with PBE was carried out for crystalline HfCo2MoC at its relaxed geometry.

a = 3.8848 Å, b = 3.8848 Å, c = 4.1763 Å
α = 90.00°, β = 90.00°, γ = 90.00°
Fractional coordinates of all 5 atoms:
Hf 0.0000 0.0000 0.0000
Co 0.0000 0.5000 0.5000
Co 0.5000 0.0000 0.5000
Mo 0.5000 0.5000 0.0000
C 0.5000 0.5000 0.5000

SG = P4/mmm, No. 123
ΔE_f = -0.165 eV/atom
Spin magnetization = 1.23 Bohr magnetons per cell

=====

No. 2
A plane-wave DFT calculation with PBE was carried out for crystalline HfCoCN2 at its relaxed geometry.

a = 3.9823 Å, b = 3.9823 Å, c = 5.4662 Å
α = 90.00°, β = 90.00°, γ = 90.00°
Fractional coordinates of all 5 atoms:
Hf 0.0000 0.0000 0.0000
Co 0.0000 0.0000 0.5000
C 0.5000 0.5000 0.5000
N 0.0000 0.5000 0.0000
N 0.5000 0.0000 0.0000

SG = P4/mmm, No. 123
E_form (uncorrected) = 2201.8 meV per atom
Spin magnetization = 1.96 Bohr magnetons per cell

=====

No. 3
A plane-wave DFT calculation with PBE was carried out for crystalline HfCo2OsC at its relaxed geometry.

a = 3.9037 Å, b = 3.9037 Å, c = 4.0250 Å
α = 90.00°, β = 90.00°, γ = 90.00°
Fractional coordinates of all 5 atoms:
Hf 0.0000 0.0000 0.0000
Co 0.0000 0.5000 0.5000
Co 0.5000 0.0000 0.5000
Os 0.5000 0.5000 0.0000
C 0.5000 0.5000 0.5000

SG = P4/mmm, No. 123
ΔE_f = -0.204 eV/atom
Spin magnetization = 0.00 Bohr magnetons per cell

=====

No. 4
A plane-wave DFT calculation with PBE was carried out for crystalline HfCo2PtC at its relaxed geometry.

a = 3.8106 Å, b = 3.8106 Å, c = 4.4310 Å
α = 90.00°, β = 90.00°, γ = 90.00°
Fractional coordinates of all 5 atoms:
Hf 0.0000 0.0000 0.0000
Co 0.0000 0.5000 0.5000
Co 0.5000 0.0000 0.5000
Pt 0.5000 0.5000 0.0000
C 0.0000 0.0000 0.5000

Offset from the most stable computed form = 0 meV/atom
SG = P4/mmm, No. 123
ΔE_f = -0.307 eV/atom
Spin magnetization = 0.00 Bohr magnetons per cell

=====

No. 5
A plane-wave DFT calculation with PBE was carried out for crystalline HfCo2PtC at its relaxed geometry.

a = 4.5344 Å, b = 4.5344 Å, c = 4.1237 Å
α = 90.00°, β = 90.00°, γ = 90.00°
Fractional coordinates of all 5 atoms:
Hf 0.0000 0.0000 0.0000
Co 0.0000 0.5000 0.0000
Co 0.5000 0.0000 0.0000
Pt 0.5000 0.5000 0.5000
C 0.0000 0.0000 0.5000

Offset from the most stable computed form = 2066 meV/atom
SG = P4/mmm, No. 123
ΔE_f = 1.759 eV/atom
Spin magnetization = 2.90 Bohr magnetons per cell

=====

No. 6
A plane-wave DFT calculation with PBE was carried out for crystalline HfCo2ReC at its relaxed geometry.

a = 3.9012 Å, b = 3.9012 Å, c = 4.0861 Å
α = 90.00°, β = 90.00°, γ = 90.00°
Fractional coordinates of all 5 atoms:
Hf 0.0000 0.0000 0.0000
Co 0.0000 0.5000 0.5000
Co 0.5000 0.0000 0.5000
Re 0.5000 0.5000 0.0000
C 0.5000 0.5000 0.5000

SG = P4/mmm, No. 123
ΔE_f = -0.198 eV/atom
Spin magnetization = 1.01 Bohr magnetons per cell